Entry 1:
Compound: AlCo2F
Source: Alexandria via LeMat-Bulk
Functional: PBE+U
Structure: optimized geometry

The structure in CIF format:
```
data_AlCo2F
_chemical_formula_sum 'Al2 Co4 F2'
_cell_length_a 6.3725
_cell_length_b 6.3725
_cell_length_c 5.2345
_cell_angle_alpha 52.50
_cell_angle_beta 52.50
_cell_angle_gamma 90.00
_symmetry_space_group_name_H-M 'P 1'
_symmetry_Int_Tables_number 1
_symmetry_space_group_name_Hall 'P 1'
loop_
_atom_site_label
_atom_site_type_symbol
_atom_site_fract_x
_atom_site_fract_y
_atom_site_fract_z
Co1 Co 0.5881 0.1250 0.2500
Co2 Co 0.1619 0.6250 0.2500
Co3 Co 0.3750 0.4119 0.7500
Co4 Co 0.8750 0.8381 0.7500
Al1 Al 0.0000 0.0000 0.0000
Al2 Al 0.7500 0.2500 0.5000
F1 F 0.5000 0.5000 0.0000
F2 F 0.2500 0.7500 0.5000
```

Summary:
As for the space-group type: I-42d (122). The calculation puts the energy at -4.1019 eV per atom. The calculation puts the relative energy among the computed polymorphs at 0 meV per atom. The magnetic moment is 7.78 Bohr magnetons per cell.

=====

Entry 2:
Compound: KRhWO2
Source: Alexandria via LeMat-Bulk
Functional: PBE+U
Structure: optimized geometry

The structure in CIF format:
```
data_KRhWO2
_chemical_formula_sum 'K1 Rh1 W1 O2'
_cell_length_a 4.1769
_cell_length_b 5.4876
_cell_length_c 4.1769
_cell_angle_alpha 90.00
_cell_angle_beta 90.00
_cell_angle_gamma 90.00
_symmetry_space_group_name_H-M 'P 1'
_symmetry_Int_Tables_number 1
_symmetry_space_group_name_Hall 'P 1'
loop_
_atom_site_label
_atom_site_type_symbol
_atom_site_fract_x
_atom_site_fract_y
_atom_site_fract_z
K1 K 0.0000 0.5000 0.0000
Rh1 Rh 0.0000 0.0000 0.0000
O1 O 0.0000 0.0000 0.5000
O2 O 0.5000 0.0000 0.0000
W1 W 0.5000 0.5000 0.5000
```

Summary:
As for the space-group type: P4/mmm (123). The calculation puts the energy at -4.2132 eV per atom. The magnetic moment is 6.15 Bohr magnetons per cell.